[1]
DFT (PBE) results for a geometry-optimized Dy6BiS4 structure.

Properties
As for the crystal system: orthorhombic. For the energy relative to the elements, uncorrected, the calculation gives -1.61 eV per atom. The uncorrected energy is -0.4390 Ry/atom.

a b c (Å): 6.7467 6.7467 20.1126
angles (deg): 90.00 90.00 145.37
With the nearest neighbours (Å) after each atom.
Positions (direct):
Dy: 0.0000 0.0000 0.0000  6 S 2.72-2.79
Dy: 0.0000 0.0000 0.5000  6 S 2.72-2.79
Dy: 0.1510 0.8490 0.7500  2 S 2.69
Dy: 0.2716 0.7284 0.0852  5 S 2.74-2.80
Dy: 0.2716 0.7284 0.4148  5 S 2.74-2.80
Dy: 0.4608 0.5392 0.6570  3 S 2.71-2.74
Dy: 0.4608 0.5392 0.8430  3 S 2.71-2.74
Dy: 0.5392 0.4608 0.1570  3 S 2.71-2.74
Dy: 0.5392 0.4608 0.3430  3 S 2.71-2.74
Dy: 0.7284 0.2716 0.5852  5 S 2.74-2.80
Dy: 0.7284 0.2716 0.9148  5 S 2.74-2.80
Dy: 0.8490 0.1510 0.2500  2 S 2.69
Bi: 0.1633 0.8367 0.2500  6 Dy 3.12-3.18
Bi: 0.8367 0.1633 0.7500  6 Dy 3.12-3.18
S: 0.0940 0.9060 0.6213  6 Dy 2.69-2.75
S: 0.0940 0.9060 0.8787  6 Dy 2.69-2.75
S: 0.3615 0.6385 0.5383  6 Dy 2.71-2.80
S: 0.3615 0.6385 0.9617  6 Dy 2.71-2.80
S: 0.6385 0.3615 0.0383  6 Dy 2.71-2.80
S: 0.6385 0.3615 0.4617  6 Dy 2.71-2.80
S: 0.9060 0.0940 0.1213  6 Dy 2.69-2.75
S: 0.9060 0.0940 0.3787  6 Dy 2.69-2.75

---

[2]
DFT (PBE) results for a geometry-optimized SnPbS2 structure.

Properties
As for the crystal system: monoclinic. As for the distance to the lowest polymorph of the same formula: 13 meV per atom. For the energy relative to the elements, uncorrected, the calculation gives -0.47 eV per atom. The uncorrected energy is -0.3278 Ry/atom.

a b c (Å): 6.4832 4.1680 8.2966
angles (deg): 90.00 111.49 90.00
With the nearest neighbours (Å) after each atom.
Positions (direct):
Sn: 0.0099 0.2500 0.2777  3 S 2.60-2.78
Sn: 0.9901 0.7500 0.7223  3 S 2.60-2.78
Pb: 0.4622 0.7500 0.2243  3 S 2.76-2.88
Pb: 0.5378 0.2500 0.7757  3 S 2.76-2.88
S: 0.2258 0.2500 0.9298  1 Pb 2.76, 2 Sn 2.78
S: 0.2672 0.7500 0.5611  1 Sn 2.60, 2 Pb 2.88
S: 0.7328 0.2500 0.4389  1 Sn 2.60, 2 Pb 2.88
S: 0.7742 0.7500 0.0702  1 Pb 2.76, 2 Sn 2.78

---

[3]
DFT (PBE) results for a geometry-optimized LaNdPt structure.

Properties
As for the crystal system: monoclinic. As for the distance to the lowest polymorph of the same formula: 82 meV per atom. As for the formation energy: -0.718 eV/atom. The uncorrected energy is -0.4383 Ry/atom.

a b c (Å): 7.2192 5.9421 11.3839
angles (deg): 90.00 128.89 90.00
With the nearest neighbours (Å) after each atom.
Positions (direct):
La: 0.1934 0.1546 0.3762  4 Pt 2.94-3.20
La: 0.1934 0.3454 0.8762  4 Pt 2.94-3.20
La: 0.8066 0.6546 0.1238  4 Pt 2.94-3.20
La: 0.8066 0.8454 0.6238  4 Pt 2.94-3.20
Nd: 0.3214 0.6237 0.6312  3 Pt 2.96-3.09
Nd: 0.3214 0.8763 0.1312  3 Pt 2.96-3.09
Nd: 0.6786 0.1237 0.8688  3 Pt 2.96-3.09
Nd: 0.6786 0.3763 0.3688  3 Pt 2.96-3.09
Pt: 0.3232 0.6663 0.3681  4 La 2.94-3.20, 3 Nd 2.96-3.09, 1 Pt 3.13
Pt: 0.3232 0.8337 0.8681  4 La 2.94-3.20, 3 Nd 2.96-3.09, 1 Pt 3.13
Pt: 0.6768 0.1663 0.1319  4 La 2.94-3.20, 3 Nd 2.96-3.09, 1 Pt 3.13
Pt: 0.6768 0.3337 0.6319  4 La 2.94-3.20, 3 Nd 2.96-3.09, 1 Pt 3.13

---

[4]
DFT (PBE) results for a geometry-optimized K2HfZnTc structure.

Properties
As for the crystal system: tetragonal. As for the formation energy: 1.677 eV/atom. The uncorrected energy is -0.2265 Ry/atom.

a b c (Å): 5.6248 5.6248 5.4371
angles (deg): 90.00 90.00 90.00
With the nearest neighbours (Å) after each atom.
Positions (direct):
K: 0.0000 0.5000 0.0000  2 Zn 2.81
K: 0.5000 0.0000 0.0000  2 Zn 2.81
Hf: 0.0000 0.0000 0.5000  2 Zn 2.72
Zn: 0.0000 0.0000 0.0000  2 Hf 2.72, 4 K 2.81
Tc: 0.5000 0.5000 0.5000  8 K 3.91, 4 Hf 3.98

---

Which formula does entry 2 have? SnPbS2